Compound: ScTi2PtI
Source: Alexandria
Functional: PBE-GGA
Structure: optimized geometry

Cell: 4.749 4.749 5.103 Å, 90.00 90.00 90.00°
Element x y z (fractional)
Sc 0.000 0.000 0.000
Ti 0.000 0.500 0.000
Ti 0.500 0.000 0.000
Pt 0.500 0.500 0.500
I 0.000 0.000 0.500

The density of states at the Fermi level is 4.56 states/eV per cell. Its energy relative to the lowest polymorph listed for this composition is 1.175 eV per atom. For the mass density, the calculation gives 6.7 Mg/m³. Its magnetization is 0.0 μB per formula unit. The crystal system is tetragonal. The calculation puts the uncorrected formation energy at 5.96 eV per formula unit.

---

Compound: PtSe2I
Source: Alexandria
Functional: PBE-GGA
Structure: optimized geometry

Cell: 8.431 8.431 8.431 Å, 27.10 27.10 27.10°
Element x y z (fractional)
Pt 0.000 0.000 0.000
Se 0.383 0.383 0.383
Se 0.617 0.617 0.617
I 0.500 0.500 0.500

The density of states at the Fermi level is 1.65 states/eV per cell. Its energy relative to the lowest polymorph listed for this composition is 0.000 eV per atom. For the mass density, the calculation gives 7.3 Mg/m³. Its magnetization is 0.0 μB per formula unit. The crystal system is trigonal. The calculation puts the uncorrected formation energy at -0.80 eV per formula unit.

---

Compound: Pt3SeI
Source: Alexandria
Functional: PBE-GGA
Structure: optimized geometry

Cell: 4.819 4.819 4.819 Å, 90.00 90.00 90.00°
Element x y z (fractional)
Pt 0.000 0.000 0.500
Pt 0.000 0.500 0.000
Pt 0.500 0.000 0.000
Se 0.000 0.000 0.000
I 0.500 0.500 0.500

The density of states at the Fermi level is 5.20 states/eV per cell. Its energy relative to the lowest polymorph listed for this composition is 0.000 eV per atom. For the mass density, the calculation gives 11.7 Mg/m³. Its magnetization is 0.0 μB per formula unit. The crystal system is cubic. The calculation puts the uncorrected formation energy at 3.66 eV per formula unit.

---

Compound: PtSe2I
Source: Alexandria
Functional: PBE-GGA
Structure: optimized geometry

Cell: 13.436 13.436 13.436 Å, 13.11 13.11 13.11°
Element x y z (fractional)
Pt 0.000 0.000 0.000
Se 0.060 0.060 0.060
Se 0.940 0.940 0.940
I 0.500 0.500 0.500

The density of states at the Fermi level is 2.41 states/eV per cell. Its energy relative to the lowest polymorph listed for this composition is 0.443 eV per atom. For the mass density, the calculation gives 7.3 Mg/m³. Its magnetization is 0.0 μB per formula unit. The crystal system is trigonal. The calculation puts the uncorrected formation energy at 0.97 eV per formula unit.

---

Question: What is the formula in the first record?
Answer: ScTi2PtI

---

Question: What is the formula in the fourth record?
Answer: PtSe2I